Entry 1:
## CaBClO2 (GGA-PBE)

Data for CaBClO2 after structural relaxation.

Results
The calculation puts the volume at 148.08 Å³/cell. The total magnetic moment comes out at 0.00 μB per atom. As for the electronic total energy: -6.5272 eV/atom.

Lattice parameters (Å, degrees): 5.416 3.784 7.333 90.00 99.75 90.00
Space group P2_1/m (No. 11)
One atom of each set of equivalent atoms:
Ca (0.173, 0.250, 0.249) [2 per cell]
B (0.344, 0.250, 0.845) [2 per cell]
Cl (0.258, 0.750, 0.552) [2 per cell]
O (0.118, 0.250, 0.874) [2 per cell]
O (0.420, 0.750, 0.153) [2 per cell]

=====

Entry 2:
## ZrCd2Os (GGA-PBE)

Data for ZrCd2Os after structural relaxation.

Results
As for the formation energy: 1.40 eV per formula unit. The calculation puts the volume at 328.44 Å³/cell. The total magnetic moment comes out at 0.00 μB per atom. The value obtained for the relative energy among the computed polymorphs is 138.2 kJ/mol of formula units.

Lattice parameters (Å, degrees): 3.937 3.937 21.189 90.00 90.00 90.00
Space group I-42d (No. 122)
One atom of each set of equivalent atoms:
Zr (0.000, 0.000, 0.000) [4 per cell]
Cd (0.238, 0.250, 0.625) [8 per cell]
Os (0.000, 0.000, 0.500) [4 per cell]

=====

Entry 3:
## RbGaPb3 (GGA-PBE)

Data for RbGaPb3 after structural relaxation.

Results
As for the formation energy: -0.17 eV per formula unit. The calculation puts the volume at 340.18 Å³/cell. The total magnetic moment comes out at 0.00 μB per atom. The value obtained for the relative energy among the computed polymorphs is 0.0 kJ/mol of formula units.

Lattice parameters (Å, degrees): 7.078 6.940 6.925 90.00 90.00 90.00
Space group Pmn2_1 (No. 31)
One atom of each set of equivalent atoms:
Rb (0.000, 0.230, 0.000) [2 per cell]
Ga (0.000, 0.602, 0.668) [2 per cell]
Pb (0.000, 0.891, 0.381) [2 per cell]
Pb (0.249, 0.278, 0.507) [4 per cell]